Here is a geometry-optimized PuPaCoO6 structure from Alexandria via LeMat-Bulk. Energies are from PBE+U.

Cell lengths 5.7867, 5.7867, 8.6829 Å; angles 90.00, 90.00, 120.00 degrees
Site moments in Bohr magnetons follow the coordinates.
Fractional coordinates of all 18 atoms:
Pa 0.3333 0.6667 0.2500  0.07
Pa 0.6667 0.3333 0.7500  0.07
O 0.3359 0.9934 0.6308  -0.04
O 0.3425 0.3359 0.3692  -0.04
O 0.6641 0.6575 0.1308  -0.04
O 0.3359 0.3425 0.8692  -0.04
O 0.9934 0.3359 0.1308  -0.04
O 0.3425 0.0066 0.1308  -0.04
O 0.6575 0.9934 0.8692  -0.04
O 0.6641 0.0066 0.3692  -0.04
O 0.0066 0.3425 0.6308  -0.04
O 0.0066 0.6641 0.8692  -0.04
O 0.6575 0.6641 0.6308  -0.04
O 0.9934 0.6575 0.3692  -0.04
Co 0.0000 0.0000 0.5000  2.75
Co 0.0000 0.0000 0.0000  2.75
Pu 0.6667 0.3333 0.2500  3.40
Pu 0.3333 0.6667 0.7500  3.40

Values from the calculation:
Its electronic total energy is -8.987 eV/atom. As for the space group: No. 163.